# 1
Below is crystalline BaLaY2 at its relaxed geometry, with properties calculated at the PBE-GGA level.

ΔE to the lowest computed polymorph in eV/atom: 0.093
VASP energy in eV/atom: -4.718
Total moment in μB/atom: 0.000

```
BaLaY2
1.0
7.254 0.006 0.002
3.472 6.370 -0.002
-4.595 -4.480 3.382
Ba Y La
1 2 1
Direct
0.510 0.510 0.000 Ba
0.767 0.267 0.500 Y
0.991 0.991 0.000 Y
0.232 0.732 0.500 La
```



# 2
Below is crystalline ZrOs2Ru at its relaxed geometry, with properties calculated at the PBE-GGA level.

ΔE to the lowest computed polymorph in eV/atom: 0.250
VASP energy in eV/atom: -9.877
Total moment in μB/atom: 0.000

```
ZrOs2Ru
1.0
-5.163 -0.586 -0.961
-1.433 -1.162 -4.952
2.858 -1.553 4.165
Os Ru Zr
2 1 1
Direct
0.508 0.508 0.000 Os
0.992 0.992 0.000 Os
0.250 0.750 0.500 Ru
0.750 0.250 0.500 Zr
```



# 3
Below is crystalline LiYP2 at its relaxed geometry, with properties calculated at the PBE-GGA level.

ΔE to the lowest computed polymorph in eV/atom: 0.194
VASP energy in eV/atom: -5.477
Total moment in μB/atom: 0.000

```
LiYP2
1.0
-3.651 -1.603 -5.962
-4.648 -3.845 3.880
-5.746 -0.430 -0.680
Y P Li
2 4 2
Direct
0.750 0.250 0.500 Y
0.000 0.000 0.000 Y
0.375 0.409 0.750 P
0.159 0.625 0.250 P
0.591 0.125 0.250 P
0.875 0.841 0.750 P
0.250 0.750 0.500 Li
0.500 0.500 0.000 Li
```



Question: Number 3 is which compound?
Answer: LiYP2



Question: Which value of VASP energy does entry 2 give?
Answer: -9.877 eV/atom